A relaxed RbGe2Pd crystal. Source: Alexandria via LeMat-Bulk, functional GGA-PBE.

a = 4.3119 Å, b = 4.3119 Å, c = 19.7564 Å
α = 90.00°, β = 90.00°, γ = 120.00°
Closest atoms and distances in Å follow each position.
Space group R-3m (No. 166, hexagonal axes)
Asymmetric unit:
Rb 0.0000 0.0000 0.0000 (multiplicity 3)  6 Ge 3.58
Ge 0.0000 0.0000 0.2031 (multiplicity 6)  3 Pd 2.59, 3 Ge 2.88
Pd 0.0000 0.0000 0.5000 (multiplicity 3)  6 Ge 2.59

Calculated values
calculated formation energy: -0.259 eV per atom
energy relative to the lowest polymorph listed for this composition: 0 meV/atom

=====

A relaxed RbSiGe2Pd crystal. Source: Alexandria via LeMat-Bulk, functional GGA-PBE.

a = 5.1392 Å, b = 5.1392 Å, c = 4.8142 Å
α = 90.00°, β = 90.00°, γ = 90.00°
Closest atoms and distances in Å follow each position.
Space group P4/mmm (No. 123)
Asymmetric unit:
Rb 0.0000 0.0000 0.0000 (multiplicity 1)  8 Ge 3.52, 4 Si 3.63
Si 0.5000 0.5000 0.0000 (multiplicity 1)  2 Pd 2.41
Ge 0.0000 0.5000 0.5000 (multiplicity 2)  2 Pd 2.57
Pd 0.5000 0.5000 0.5000 (multiplicity 1)  2 Si 2.41, 4 Ge 2.57

Calculated values
E_form (uncorrected): 0.355 eV/atom

=====

A relaxed RbZn2GePd crystal. Source: Alexandria via LeMat-Bulk, functional GGA-PBE.

a = 5.0405 Å, b = 5.0405 Å, c = 4.8756 Å
α = 90.00°, β = 90.00°, γ = 90.00°
Closest atoms and distances in Å follow each position.
Space group P4/mmm (No. 123)
Asymmetric unit:
Rb 0.0000 0.0000 0.0000 (multiplicity 1)  8 Zn 3.51, 4 Ge 3.56
Zn 0.0000 0.5000 0.5000 (multiplicity 2)  2 Pd 2.52
Ge 0.5000 0.5000 0.0000 (multiplicity 1)  2 Pd 2.44
Pd 0.5000 0.5000 0.5000 (multiplicity 1)  2 Ge 2.44, 4 Zn 2.52

Calculated values
calculated formation energy: -0.051 eV per atom

=====

A relaxed RbZr2GePd crystal. Source: Alexandria via LeMat-Bulk, functional GGA-PBE.

a = 5.1295 Å, b = 5.1295 Å, c = 4.8431 Å
α = 90.00°, β = 90.00°, γ = 90.00°
Closest atoms and distances in Å follow each position.
Space group P4/mmm (No. 123)
Asymmetric unit:
Rb 0.0000 0.0000 0.0000 (multiplicity 1)  2 Pd 2.42, 4 Zr 2.56
Zr 0.0000 0.5000 0.0000 (multiplicity 2)  2 Rb 2.56
Ge 0.5000 0.5000 0.5000 (multiplicity 1)  8 Zr 3.53, 4 Pd 3.63
Pd 0.0000 0.0000 0.5000 (multiplicity 1)  2 Rb 2.42

Calculated values
calculated formation energy: 1.903 eV per atom

=====

Number 1: total moment 0.0 μB/f.u.. Number 2: total moment 0.0 μB/f.u.. Number 3: total moment 0.0 μB/f.u.. Number 4: total moment 0.0 μB/f.u..